First-principles (PBE) data for a relaxed structure of Li3Zn4, as listed in OQMD via LeMat-Bulk.

a = 7.2638 Å, b = 7.2638 Å, c = 4.3504 Å
α = 90.00°, β = 90.00°, γ = 120.00°
Space group P6_3/m (No. 176)
Asymmetric unit:
Li (0.0603, 0.2512, 0.2500) [6 per cell]
Zn (0.0945, 0.4852, 0.7500) [6 per cell]
Zn (0.3333, 0.6667, 0.2500) [2 per cell]

Calculated values
The polymorph energy (0 for the lowest one) comes out at 37 meV per atom. The density comes out at 4.7 g/cm³.